No. 1
Here is a relaxed structure of TcGeSb2 from the Alexandria database. Energies are from PBE.

a = 6.1673 Å, b = 6.1673 Å, c = 12.2411 Å
α = 90.00°, β = 90.00°, γ = 90.00°
Space group I-42d (No. 122)
One atom of each set of equivalent atoms:
Tc  0.0000  0.0000  0.0000 (multiplicity 4)
Ge  0.0000  0.0000  0.5000 (multiplicity 4)
Sb  0.2257  0.2500  0.1250 (multiplicity 8)

* ΔE_f (raw): 10.9 kcal/mol of atoms
* spin magnetization: 0.00 μB/cell
* E_tot: -5.333 eV per atom

=====

No. 2
Here is a relaxed structure of InFeSb6 from the Alexandria database. Energies are from PBE.

a = 13.6501 Å, b = 9.4313 Å, c = 9.7797 Å
α = 90.00°, β = 134.06°, γ = 90.00°
Space group C2/m (No. 12)
One atom of each set of equivalent atoms:
In  0.2500  0.2500  0.0000 (multiplicity 4)
Fe  0.2500  0.2500  0.5000 (multiplicity 4)
Sb  0.0263  0.1546  0.3754 (multiplicity 8)
Sb  0.1236  0.5000  0.7582 (multiplicity 4)
Sb  0.1486  0.3430  0.1770 (multiplicity 8)
Sb  0.1862  0.5000  0.5254 (multiplicity 4)

* ΔE_f (raw): 1.1 kcal/mol of atoms
* spin magnetization: 1.01 μB/cell
* E_tot: -4.442 eV per atom

=====

No. 3
Here is a relaxed structure of Ce3Mn2Al9 from the Alexandria database. Energies are from PBE.

a = 4.4053 Å, b = 9.6257 Å, c = 12.5292 Å
α = 90.00°, β = 90.00°, γ = 90.00°
Space group Immm (No. 71)
One atom of each set of equivalent atoms:
Ce  0.0000  0.0000  0.0000 (multiplicity 2)
Ce  0.0000  0.0000  0.3002 (multiplicity 4)
Mn  0.0000  0.1688  0.5000 (multiplicity 4)
Al  0.0000  0.2830  0.1295 (multiplicity 8)
Al  0.0000  0.3598  0.3505 (multiplicity 8)
Al  0.0000  0.5000  0.0000 (multiplicity 2)

* energy of formation from the pure elements: -0.34 eV per atom
* spin magnetization: 8.35 μB/cell
* E_tot: -5.330 eV per atom